(1)
Computed, not measured: a geometry-optimized AcSiRuF structure at the PBE level of DFT.

Summary:
**N(E_F)**: 3.5 states/eV/cell
**Space-group type**: P4/nmm, No. 129
**Uncorrected formation energy**: -1.906 eV per atom
**Volume**: 19.26 Å³ per atom
**Energy**: -28.303 eV per formula unit
**Total magnetization**: 0.00 μB/cell

```
8
Lattice="4.289 0.000 0.000 0.000 4.289 0.000 0.000 0.000 8.374" Properties=species:S:1:pos:R:3 pbc="T T T"
Ac 0.000 2.145 6.762
Ac 2.145 0.000 1.612
Si 2.145 0.000 5.260
Si 0.000 2.145 3.114
Ru 0.000 0.000 4.187
Ru 2.145 2.145 4.187
F 2.145 2.145 0.000
F 0.000 0.000 0.000
```

=====

(2)
Computed, not measured: a geometry-optimized SrZnPF structure at the PBE level of DFT.

Summary:
**Space-group type**: P4/nmm, No. 129
**Uncorrected formation energy**: -1.904 eV per atom
**Volume**: 18.63 Å³ per atom
**Energy**: -17.854 eV per formula unit
**Total magnetization**: 0.00 μB/cell

```
8
Lattice="-3.591 0.371 -1.836 0.322 -3.788 -1.397 -4.140 -3.106 7.470" Properties=species:S:1:pos:R:3 pbc="T T T"
Sr -4.527 -1.864 4.012
Sr -1.247 -2.950 1.842
Zn -1.634 -1.708 -1.616
Zn 0.000 0.000 0.000
P -3.310 -4.498 5.565
P -2.464 -0.316 0.289
F -2.070 -1.553 3.735
F -3.704 -3.261 2.119
```

=====

(3)
Computed, not measured: a geometry-optimized K3NdBi2O6 structure at the PBE level of DFT.

Summary:
**N(E_F)**: 0.0 states/eV/cell
**Space-group type**: C2/m, No. 12
**Uncorrected formation energy**: -1.761 eV per atom
**Volume**: 17.98 Å³ per atom
**Energy**: -66.702 eV per formula unit
**Total magnetization**: 0.00 μB/cell

```
12
Lattice="-4.969 0.931 -3.727 5.447 -1.938 -2.454 -1.917 -5.673 2.901" Properties=species:S:1:pos:R:3 pbc="T T T"
K 2.722 -4.288 -1.219
K -4.161 -2.393 -2.061
K -0.719 -3.340 -1.640
Nd 0.000 0.000 0.000
Bi 1.973 -0.981 -2.878
Bi -1.494 -0.026 -3.302
O -2.883 -4.849 -2.639
O -0.029 -1.870 -3.976
O 1.444 -1.832 -0.641
O 0.547 -5.793 -2.220
O -1.410 -4.811 0.696
O -1.985 -0.888 -1.061
```

=====

(4)
Computed, not measured: a geometry-optimized PuZnAgAu structure at the PBE level of DFT.

Summary:
**N(E_F)**: 14.3 states/eV/cell
**Space-group type**: F-43m, No. 216
**Volume**: 21.13 Å³ per atom
**Energy**: -22.192 eV per formula unit
**Total magnetization**: 5.83 μB/cell
**E_form**: -2.64 kcal/mol of atoms

```
4
Lattice="4.926 0.000 0.000 2.463 4.266 0.000 2.463 1.422 4.022" Properties=species:S:1:pos:R:3 pbc="T T T"
Zn 0.000 0.000 0.000
Au 7.389 4.266 3.016
Ag 2.463 1.422 1.005
Pu 4.926 2.844 2.011
```

=====

(5)
Computed, not measured: a geometry-optimized La5Pr6Y structure at the PBE level of DFT.

Summary:
**N(E_F)**: 21.3 states/eV/cell
**Space-group type**: C2/m, No. 12
**Volume**: 36.24 Å³ per atom
**Energy**: -59.626 eV per formula unit
**Total magnetization**: 0.00 μB/cell
**E_form**: 0.29 kcal/mol of atoms

```
12
Lattice="-1.483 11.631 3.788 -0.640 -0.944 6.332 5.194 0.025 3.797" Properties=species:S:1:pos:R:3 pbc="T T T"
La 2.616 5.675 5.481
La 1.523 -0.306 3.377
La -1.061 5.344 5.060
La 3.031 -0.613 6.752
La 0.455 5.037 8.436
Pr 0.561 8.666 4.628
Pr 0.983 2.352 5.912
Pr -0.529 2.656 2.531
Pr -1.593 8.031 7.589
Pr 2.088 8.361 8.006
Pr 2.510 2.046 9.290
Y 0.000 0.000 0.000
```

=====

(6)
Computed, not measured: a geometry-optimized BeTeBr structure at the PBE level of DFT.

Summary:
**N(E_F)**: 1.6 states/eV/cell
**Space-group type**: I4mm, No. 107
**Uncorrected formation energy**: 0.288 eV per atom
**Volume**: 25.14 Å³ per atom
**Energy**: -7.676 eV per formula unit
**Total magnetization**: 0.00 μB/cell
**E above lowest polymorph**: 223.7 kJ/mol of formula units

```
3
Lattice="7.616 0.032 0.000 6.235 4.374 0.000 -6.926 -2.203 2.278" Properties=species:S:1:pos:R:3 pbc="T T T"
Be 13.608 4.329 0.000
Te 8.648 2.751 0.000
Br 5.447 1.733 0.000
```

=====

(7)
Computed, not measured: a geometry-optimized Nb2FePd2 structure at the PBE level of DFT.

Summary:
**N(E_F)**: 13.2 states/eV/cell
**Space-group type**: P4/mbm, No. 127
**Volume**: 16.45 Å³ per atom
**Energy**: -37.843 eV per formula unit
**Total magnetization**: 0.00 μB/cell
**E_form**: 5.28 kcal/mol of atoms

```
10
Lattice="-1.526 6.471 2.204 -6.562 -2.019 1.385 0.917 -0.844 3.113" Properties=species:S:1:pos:R:3 pbc="T T T"
Nb -4.256 -0.642 2.885
Nb -5.975 2.299 4.188
Nb -2.915 4.251 3.816
Nb -1.197 1.309 2.513
Fe 0.000 0.000 0.000
Fe -4.044 2.226 1.794
Pd -6.272 0.636 2.019
Pd -5.463 4.355 2.789
Pd -1.817 3.816 1.569
Pd -2.625 0.097 0.799
```

=====

(8)
Computed, not measured: a geometry-optimized MgCuBr2 structure at the PBE level of DFT.

Summary:
**N(E_F)**: 1.4 states/eV/cell
**Space-group type**: Cmmm, No. 65
**Uncorrected formation energy**: -0.271 eV per atom
**Volume**: 26.03 Å³ per atom
**Energy**: -10.120 eV per formula unit
**Total magnetization**: 0.00 μB/cell
**E above lowest polymorph**: 89.1 kJ/mol of formula units

```
4
Lattice="4.062 -0.031 0.000 -2.266 3.371 0.000 0.000 0.000 7.642" Properties=species:S:1:pos:R:3 pbc="T T T"
Br 0.000 0.000 0.142
Br 0.000 0.000 3.679
Cu 0.898 1.670 1.910
Mg 0.898 1.670 5.731
```

=====

(9)
Computed, not measured: a geometry-optimized BC2 structure at the PBE level of DFT.

Summary:
**N(E_F)**: 1.8 states/eV/cell
**Space-group type**: C2, No. 5
**Volume**: 6.33 Å³ per atom
**Energy**: -23.803 eV per formula unit
**Total magnetization**: 0.00 μB/cell
**E_form**: 10.16 kcal/mol of atoms
**E above lowest polymorph**: 58.1 kJ/mol of formula units

```
12
Lattice="4.306 -0.045 -1.463 2.705 3.350 -1.463 -0.167 -0.079 5.292" Properties=species:S:1:pos:R:3 pbc="T T T"
B 3.238 2.653 -0.261
B 2.372 1.073 -0.114
B 2.424 0.195 1.350
B 2.594 3.252 1.203
C 4.147 -0.071 3.747
C 4.685 2.036 -0.187
C 4.960 1.304 1.154
C 2.956 2.404 2.541
C 2.181 1.077 2.634
C 2.629 0.175 3.840
C 4.521 2.168 2.459
C 5.075 1.358 -1.528
```